(1)
Density functional theory data (PBE-GGA) for TaTl2AuSe4 after structural relaxation.

The space group is Fddd (No. 70, origin choice 2) and the conventional cell measures 5.996, 14.002 and 23.526 Å, with angles of 90.00, 90.00 and 90.00 degrees. Symmetry generates all atoms from Ta at (0.125, 0.125, 0.125), Tl at (0.125, 0.125, 0.301), Au at (0.125, 0.125, 0.625) and Se at (0.093, 0.271, 0.437).

The formation energy from raw total energies is -0.520 eV/atom.



(2)
Density functional theory data (PBE-GGA) for NaAs2PSe after structural relaxation.

The space group is P4/mmm (No. 123) and the conventional cell measures 4.991, 4.991 and 4.968 Å, with angles of 90.00, 90.00 and 90.00 degrees. Symmetry generates all atoms from Na at (0.000, 0.000, 0.000), As at (0.000, 0.500, 0.000), P at (0.500, 0.500, 0.500) and Se at (0.000, 0.000, 0.500).

The formation energy from raw total energies is 1.354 eV/atom.



(3)
Density functional theory data (PBE-GGA) for Nd12Tl3H5 after structural relaxation.

The space group is Ia-3d (No. 230) and the conventional cell measures 16.223, 16.223 and 16.223 Å, with angles of 90.00, 90.00 and 90.00 degrees. Symmetry generates all atoms from Nd at (0.042, 0.055, 0.650), Tl at (0.000, 0.250, 0.125), H at (0.000, 0.000, 0.000) and H at (0.000, 0.250, 0.375).

The energy is -4.26 eV/atom.



(4)
Density functional theory data (PBE-GGA) for In3RuI after structural relaxation.

The space group is Pm-3m (No. 221) and the conventional cell measures 5.271, 5.271 and 5.271 Å, with angles of 90.00, 90.00 and 90.00 degrees. Symmetry generates all atoms from In at (0.000, 0.000, 0.500), Ru at (0.000, 0.000, 0.000) and I at (0.500, 0.500, 0.500).

The formation energy from raw total energies is -0.057 eV/atom.